Tb10Pr4Nd | PBE | optimized geometry

Cell lengths 10.7474, 8.7539, 8.7539 Å; angles 67.86, 52.13, 52.13 degrees
Sites, in units of the cell vectors:
Tb 0.2500 0.5000 0.5000
Tb 0.5438 0.3243 0.9063
Tb 0.1318 0.0937 0.3243
Tb 0.5499 0.9063 0.6757
Tb 0.7744 0.6757 0.0937
Tb 0.4562 0.6757 0.0937
Tb 0.7500 0.5000 0.5000
Tb 0.2256 0.3243 0.9063
Tb 0.4501 0.0937 0.3243
Tb 0.8682 0.9063 0.6757
Pr 0.3327 0.7308 0.6038
Pr 0.9365 0.3962 0.7308
Pr 0.0635 0.6038 0.2692
Pr 0.6673 0.2692 0.3962
Nd 0.0000 0.0000 0.0000

E_tot in eV/atom: -4.349
DOS(E_F) in states/eV/atom: 1.480
E_form in eV per formula unit: 4.95
Space group: I4/m, No. 87
Calculated volume in A^3/atom: 34.2